CaBe3 (GGA-PBE, optimized geometry); DOS(E_F) = 0.308 states/eV/atom
1.0
2.6491 0.0000 0.0000
0.0000 3.0097 0.0000
0.0000 0.0000 6.7048
Ca Be
1 3
direct
0.0000 0.0000 0.0000
0.0000 0.0000 0.5000
0.5000 0.5000 0.3311
0.5000 0.5000 0.6689

Tc2HgAs (GGA-PBE, optimized geometry); DOS(E_F) = 0.782 states/eV/atom
1.0
1.4542 0.8396 9.7232
-1.4542 0.8396 9.7232
0.0000 -1.6792 9.7232
Tc Hg As
2 1 1
direct
0.0000 0.0000 0.0000
0.2642 0.2642 0.2642
0.7533 0.7533 0.7533
0.5280 0.5280 0.5280

HfSnMoRh (GGA-PBE, optimized geometry); DOS(E_F) = 1.553 states/eV/atom
1.0
0.0000 3.2779 3.2779
3.2779 0.0000 3.2779
3.2779 3.2779 0.0000
Hf Sn Mo Rh
1 1 1 1
direct
0.0000 0.0000 0.0000
0.5000 0.5000 0.5000
0.7500 0.7500 0.7500
0.2500 0.2500 0.2500

no.,formation energy (eV/atom)
1,0.424
2,0.213
3,-0.315